! Li4VFeTe2O12 PBEsol relaxed; values from VASP
&SYSTEM
  ibrav = 0, nat = 20, ntyp = 5
/
ATOMIC_SPECIES
Li 6.94 Li.upf
V 50.94 V.upf
Fe 55.84 Fe.upf
Te 127.60 Te.upf
O 16.00 O.upf
CELL_PARAMETERS angstrom
5.0422 0.0000 0.0000
-0.0158 5.3162 0.0000
-0.0082 -0.5200 7.3299
ATOMIC_POSITIONS crystal
Li 0.0000 0.0000 0.0000
Li 0.0005 0.9773 0.4960
Li 0.4958 0.4670 0.0116
Li 0.5015 0.4946 0.4820
V 0.0002 0.5463 0.7184
Fe 0.4997 0.0518 0.2117
Te 0.0052 0.5642 0.2158
Te 0.4960 0.0513 0.7072
O 0.1290 0.5892 0.4627
O 0.1701 0.8891 0.7624
O 0.1923 0.2683 0.1336
O 0.3004 0.7571 0.1300
O 0.3027 0.3923 0.7634
O 0.3756 0.0952 0.4642
O 0.6257 0.0916 0.9480
O 0.6811 0.3956 0.2553
O 0.6982 0.7629 0.6281
O 0.8086 0.2761 0.6380
O 0.8312 0.8877 0.2544
O 0.8763 0.5771 0.9408
! Calculated total energy = -128.983 eV/cell
! Density of states at the Fermi level = 0.369 states/eV per cell
! Formation energy (no corrections) = -1.6237 eV/atom